Entry from the Alexandria database: crystalline Zn2Sn2Rh at its relaxed geometry (PBE).

POSCAR file:
```
Zn2Sn2Rh
1.0
6.997 0.000 0.000
0.000 6.997 0.000
0.000 0.000 4.142
Zn Sn Rh
4 4 2
Direct
0.151 0.349 0.000 Zn
0.349 0.849 0.000 Zn
0.651 0.151 0.000 Zn
0.849 0.651 0.000 Zn
0.156 0.656 0.500 Sn
0.344 0.156 0.500 Sn
0.656 0.844 0.500 Sn
0.844 0.344 0.500 Sn
0.000 0.000 0.500 Rh
0.500 0.500 0.500 Rh
```

* total energy: -3.465 eV per atom
* D(E_F): 0.559 states/eV/atom
* formation enthalpy at 0 K: 0.12 eV per atom
* theoretical density: 7.71 g/cm³
* distance to the lowest polymorph of the same formula: 56.4 meV/atom